# 1
Cs2CaNCl6 PBE-GGA optimized geometry; E_tot = -3.372 eV/atom; raw formation energy = -1.061 eV/atom
1.0
-3.529 3.529 6.225
3.529 -3.529 6.225
3.529 3.529 -6.225
Cs Ca N Cl
2 1 1 6
Cartesian
3.529 0.000 3.113
0.000 3.529 3.113
0.000 0.000 0.000
0.000 0.000 6.225
0.000 0.000 2.640
1.986 1.986 0.000
1.543 -1.543 6.225
-1.543 1.543 6.225
1.543 1.543 6.225
0.000 0.000 9.810

# 2
CsBaI2 PBE-GGA optimized geometry; E_tot = -2.699 eV/atom; ΔE to the lowest computed polymorph = 0.135 eV per atom; raw formation energy = -1.230 eV/atom
1.0
0.000 4.420 4.420
4.420 0.000 4.420
4.420 4.420 0.000
Cs Ba I
1 1 2
Cartesian
0.000 0.000 0.000
4.420 4.420 4.420
2.210 2.210 2.210
6.631 6.631 6.631

# 3
Pu2Al4Pt3Rh PBE-GGA optimized geometry; E_tot = -7.804 eV/atom; formation energy from the elements = -0.893 eV/atom
1.0
4.221 0.000 0.000
0.000 4.221 0.000
0.000 0.000 10.458
Pu Al Pt Rh
2 4 3 1
Cartesian
0.000 2.111 2.576
2.111 0.000 7.882
0.000 0.000 5.229
0.000 2.111 9.144
2.111 0.000 1.314
2.111 2.111 5.229
0.000 0.000 0.000
0.000 2.111 6.650
2.111 0.000 3.808
2.111 2.111 0.000

# 4
HF PBE-GGA optimized geometry; E_tot = -4.208 eV/atom; ΔE to the lowest computed polymorph = 0.002 eV per atom
1.0
3.214 0.000 0.000
1.526 2.949 0.000
0.695 -0.312 4.015
H F
2 2
Cartesian
0.000 0.000 0.000
1.795 2.609 2.007
1.730 2.072 2.863
3.572 0.405 0.856

# 5
Fe2NiAs PBE-GGA optimized geometry; E_tot = -6.855 eV/atom; formation energy from the elements = -0.016 eV/atom
1.0
4.080 -1.778 0.000
4.080 1.778 0.000
-1.737 0.000 3.359
Fe Ni As
2 1 1
Cartesian
0.000 0.000 0.000
0.677 0.000 2.495
5.721 0.000 0.868
3.160 0.000 1.652

# 6
Tb6Y2Ho3Th PBE-GGA optimized geometry; E_tot = -5.129 eV/atom; formation energy from the elements = 0.026 eV/atom
1.0
3.081 -5.333 0.000
3.081 5.333 0.000
-2.052 0.000 11.621
Tb Y Ho Th
6 2 3 1
Cartesian
-0.006 1.758 8.726
1.001 0.000 2.898
-0.006 -1.758 8.726
4.117 1.758 2.895
3.110 0.000 8.723
4.117 -1.758 2.895
2.056 1.779 5.811
2.056 -1.779 5.811
3.081 3.550 0.000
3.081 0.000 0.000
3.081 -3.550 0.000
-1.026 0.000 5.811

# 7
PmMgTe2 PBE-GGA optimized geometry; E_tot = -4.222 eV/atom; raw formation energy = -1.065 eV/atom
1.0
2.113 1.220 7.566
-2.113 1.220 7.566
0.000 -2.440 7.566
Pm Mg Te
1 1 2
Cartesian
0.000 0.000 0.000
0.000 0.000 11.349
0.000 0.000 5.509
0.000 0.000 17.188

# 8
K2CoSb PBE-GGA optimized geometry; E_tot = -2.880 eV/atom; raw formation energy = 0.475 eV/atom
1.0
4.084 0.000 0.000
0.000 5.177 0.000
0.000 0.000 5.586
K Co Sb
2 1 1
Cartesian
0.000 0.000 1.389
0.000 0.000 4.197
2.042 2.589 0.000
2.042 2.589 2.793

| no. | total magnetic moment (μB/f.u.) |
| --- | --- |
| 1 | 1.00 |
| 2 | 0.00 |
| 3 | 11.30 |
| 4 | 0.00 |
| 5 | 5.27 |
| 6 | 0.00 |
| 7 | 0.00 |
| 8 | 1.64 |